# 1
{
  "formula": "LaCd3Ru",
  "functional": "GGA-PBE",
  "state": "optimized geometry",
  "lattice_angstrom": [[-4.402, 1.982, 3.463], [1.693, -3.742, 4.294], [3.613, 4.168, 2.208]],
  "species": ["Cd", "Cd", "Cd", "Ru", "La"],
  "fractional_positions": [[0.500, 0.000, 0.000], [0.000, 0.500, 0.000], [0.000, 0.000, 0.500], [0.500, 0.500, 0.500], [0.000, 0.000, 0.000]],
  "space_group": "Pm-3m, No. 221",
  "formation_energy_ev_per_atom": 1.654,
  "mass_density_g_cm3": 4.57
}

# 2
{
  "formula": "La4Cd2Ru",
  "functional": "GGA-PBE",
  "state": "optimized geometry",
  "lattice_angstrom": [[3.988, 0.000, 0.000], [-1.994, 5.465, 0.000], [0.000, 0.000, 19.956]],
  "species": ["Cd", "Cd", "Cd", "Cd", "La", "La", "La", "La", "La", "La", "La", "La", "Ru", "Ru"],
  "fractional_positions": [[0.211, 0.421, 0.066], [0.789, 0.579, 0.566], [0.789, 0.579, 0.934], [0.211, 0.421, 0.434], [0.920, 0.841, 0.149], [0.920, 0.841, 0.351], [0.080, 0.159, 0.851], [0.500, 0.000, 0.000], [0.080, 0.159, 0.649], [0.500, 0.000, 0.500], [0.815, 0.630, 0.750], [0.185, 0.370, 0.250], [0.447, 0.894, 0.250], [0.553, 0.106, 0.750]],
  "space_group": "Cmcm, No. 63",
  "formation_energy_ev_per_atom": -0.165,
  "mass_density_g_cm3": 6.73
}

What did the first record say?
{
  "formula": "LaCd3Ru",
  "functional": "GGA-PBE",
  "state": "optimized geometry",
  "lattice_angstrom": [[-4.402, 1.982, 3.463], [1.693, -3.742, 4.294], [3.613, 4.168, 2.208]],
  "species": ["Cd", "Cd", "Cd", "Ru", "La"],
  "fractional_positions": [[0.500, 0.000, 0.000], [0.000, 0.500, 0.000], [0.000, 0.000, 0.500], [0.500, 0.500, 0.500], [0.000, 0.000, 0.000]],
  "space_group": "Pm-3m, No. 221",
  "formation_energy_ev_per_atom": 1.654,
  "mass_density_g_cm3": 4.57
}

Which formula does entry 1 have? LaCd3Ru